# 1
Entry from the Alexandria database: LiP2WCl at its PBEsol-relaxed geometry (meta-GGA SCAN).

Computed properties:
raw total energy	-20.19	eV per atom
energy relative to the lowest polymorph listed for this composition	0.000	eV per formula unit

a b c (Å): 4.6141 4.6141 5.0911
angles (deg): 90.00 90.00 90.00
Sites, in units of the cell vectors:
P1 0.0000 0.5000 0.0000
P2 0.5000 0.0000 0.0000
Li1 0.5000 0.5000 0.5000
W1 0.0000 0.0000 0.0000
Cl1 0.0000 0.0000 0.5000


# 2
Entry from the Alexandria database: LiP2WCl at its PBEsol-relaxed geometry (meta-GGA SCAN).

Computed properties:
raw total energy	-18.97	eV per atom
energy relative to the lowest polymorph listed for this composition	6.074	eV per formula unit

a b c (Å): 4.3278 4.2334 4.2334
angles (deg): 90.00 90.00 90.00
Sites, in units of the cell vectors:
P1 0.0000 0.0000 0.5000
P2 0.0000 0.5000 0.0000
Li1 0.0000 0.0000 0.0000
W1 0.5000 0.5000 0.5000
Cl1 0.5000 0.0000 0.0000


# 3
Entry from the Alexandria database: LiPb2Cl at its PBEsol-relaxed geometry (meta-GGA SCAN).

Computed properties:
raw total energy	-40.95	eV per atom

a b c (Å): 4.4212 4.4219 6.3117
angles (deg): 109.41 109.40 92.95
Sites, in units of the cell vectors:
Cl1 0.5000 0.0000 0.0000
Li1 0.0000 0.5000 0.0000
Pb1 0.0000 0.0000 0.5000
Pb2 0.5000 0.5000 0.5000


# 4
Entry from the Alexandria database: LiPbCl2 at its PBEsol-relaxed geometry (meta-GGA SCAN).

Computed properties:
raw total energy	-24.04	eV per atom

a b c (Å): 5.0557 5.0557 5.0557
angles (deg): 60.00 60.00 60.00
Sites, in units of the cell vectors:
Cl1 0.0000 0.0000 0.0000
Cl2 0.7500 0.7500 0.7500
Li1 0.5000 0.5000 0.5000
Pb1 0.2500 0.2500 0.2500


# 5
Entry from the Alexandria database: LiPbSCl2 at its PBEsol-relaxed geometry (meta-GGA SCAN).

Computed properties:
raw total energy	-21.56	eV per atom

a b c (Å): 4.5760 4.5760 4.8470
angles (deg): 90.00 90.00 90.00
Sites, in units of the cell vectors:
Pb1 0.5000 0.5000 0.5000
S1 0.0000 0.0000 0.5000
Li1 0.0000 0.0000 0.0000
Cl1 0.0000 0.5000 0.0000
Cl2 0.5000 0.0000 0.0000


# 6
Entry from the Alexandria database: Li3PdCl at its PBEsol-relaxed geometry (meta-GGA SCAN).

Computed properties:
raw total energy	-10.23	eV per atom

a b c (Å): 4.4389 4.4389 4.4389
angles (deg): 90.00 90.00 90.00
Sites, in units of the cell vectors:
Li1 0.0000 0.5000 0.0000
Li2 0.0000 0.0000 0.5000
Li3 0.5000 0.0000 0.0000
Pd1 0.5000 0.5000 0.5000
Cl1 0.0000 0.0000 0.0000


# 7
Entry from the Alexandria database: Li4PtCl at its PBEsol-relaxed geometry (meta-GGA SCAN).

Computed properties:
raw total energy	-14.82	eV per atom

a b c (Å): 5.0026 5.0026 5.0026
angles (deg): 60.00 60.00 60.00
Sites, in units of the cell vectors:
Cl1 0.0000 0.0000 0.0000
Li1 0.3762 0.3762 0.3762
Li2 0.3762 0.3762 0.8714
Li3 0.8714 0.3762 0.3762
Li4 0.3762 0.8714 0.3762
Pt1 0.7500 0.7500 0.7500


# 8
Entry from the Alexandria database: Li2PtCl at its PBEsol-relaxed geometry (meta-GGA SCAN).

Computed properties:
raw total energy	-21.67	eV per atom
energy relative to the lowest polymorph listed for this composition	0.000	eV per formula unit

a b c (Å): 2.9207 2.9207 7.1658
angles (deg): 90.00 90.00 109.98
Sites, in units of the cell vectors:
Cl1 0.5000 0.5000 0.0000
Pt1 0.5000 0.5000 0.5000
Li1 0.0000 0.0000 0.2230
Li2 0.0000 0.0000 0.7770


# 9
Entry from the Alexandria database: Li2PtCl at its PBEsol-relaxed geometry (meta-GGA SCAN).

Computed properties:
raw total energy	-21.42	eV per atom
energy relative to the lowest polymorph listed for this composition	1.015	eV per formula unit

a b c (Å): 2.9191 3.9387 5.8399
angles (deg): 109.71 104.47 90.00
Sites, in units of the cell vectors:
Cl1 0.2388 0.7388 0.4776
Pt1 0.5236 0.5236 0.0472
Li1 0.9515 0.9515 0.9031
Li2 0.7861 0.2861 0.5722


# 10
Entry from the Alexandria database: RbLiCl2 at its PBEsol-relaxed geometry (meta-GGA SCAN).

Computed properties:
raw total energy	-11.57	eV per atom

a b c (Å): 5.1641 5.1641 5.1641
angles (deg): 60.00 60.00 60.00
Sites, in units of the cell vectors:
Li1 0.0000 0.0000 0.0000
Rb1 0.5000 0.5000 0.5000
Cl1 0.2500 0.2500 0.2500
Cl2 0.7500 0.7500 0.7500


# 11
Entry from the Alexandria database: RbLi2Cl at its PBEsol-relaxed geometry (meta-GGA SCAN).

Computed properties:
raw total energy	-8.59	eV per atom

a b c (Å): 5.7040 5.7040 5.7040
angles (deg): 60.00 60.00 60.00
Sites, in units of the cell vectors:
Cl1 0.0000 0.0000 0.0000
Rb1 0.5000 0.5000 0.5000
Li1 0.2500 0.2500 0.2500
Li2 0.7500 0.7500 0.7500


# 12
Entry from the Alexandria database: RbLiCl2 at its PBEsol-relaxed geometry (meta-GGA SCAN).

Computed properties:
raw total energy	-11.84	eV per atom

a b c (Å): 6.5044 6.5044 6.5044
angles (deg): 76.72 67.35 112.65
Sites, in units of the cell vectors:
Li1 0.5000 0.7500 0.7500
Li2 0.0000 0.5000 0.5000
Rb1 0.5000 0.2500 0.2500
Rb2 0.0000 0.0000 0.0000
Cl1 0.0928 0.4678 0.1250
Cl2 0.9072 0.7822 0.6250
Cl3 0.5928 0.1250 0.7822
Cl4 0.4072 0.6250 0.4678


Number 1: raw formation energy -8 kJ/mol of formula units. Number 2: raw formation energy 578 kJ/mol of formula units. Number 3: raw formation energy -180 kJ/mol of formula units. Number 4: raw formation energy -198 kJ/mol of formula units. Number 5: raw formation energy -390 kJ/mol of formula units. Number 6: raw formation energy -310 kJ/mol of formula units. Number 7: raw formation energy -112 kJ/mol of formula units. Number 8: raw formation energy -361 kJ/mol of formula units. Number 9: raw formation energy -264 kJ/mol of formula units. Number 10: raw formation energy -695 kJ/mol of formula units. Number 11: raw formation energy -85 kJ/mol of formula units. Number 12: raw formation energy -798 kJ/mol of formula units.